1.
## NpPaSbO2 (GGA-PBE)

Data for a relaxed structure of NpPaSbO2.

a b c (Å): 6.8035 6.8035 6.8035
angles (deg): 146.49 146.49 48.12
Last column: nearest neighbours and their distance in Å.
Fractional coordinates of all 5 atoms:
Np  0.0000  0.0000  0.0000  4 O 2.39
Pa  0.7036  0.7036  0.0000  4 O 2.28
Sb  0.3546  0.3546  0.0000  4 Np 3.31, 4 Pa 3.35, 4 O 3.62
O  0.1101  0.6101  0.5000  2 Pa 2.28, 2 Np 2.39
O  0.6101  0.1101  0.5000  2 Pa 2.28, 2 Np 2.39

Properties
Its formation energy (no corrections) is -11.28 eV per formula unit.

2.
## NpPaSe2O (GGA-PBE)

Data for a relaxed structure of NpPaSe2O.

a b c (Å): 3.9700 3.9700 13.6652
angles (deg): 90.00 90.00 90.00
Last column: nearest neighbours and their distance in Å.
Fractional coordinates of all 10 atoms:
Np  0.2500  0.2500  0.0881  4 O 2.32
Np  0.7500  0.7500  0.9119  4 O 2.32
Pa  0.2500  0.2500  0.5973  6 Se 2.83-2.98
Pa  0.7500  0.7500  0.4027  6 Se 2.83-2.98
Se  0.2500  0.2500  0.3792  5 Pa 2.83-2.98
Se  0.2500  0.2500  0.8077  1 Pa 2.88, 4 Np 3.15
Se  0.7500  0.7500  0.1923  1 Pa 2.88, 4 Np 3.15
Se  0.7500  0.7500  0.6208  5 Pa 2.83-2.98
O  0.2500  0.7500  0.0000  4 Np 2.32
O  0.7500  0.2500  0.0000  4 Np 2.32

Properties
Its formation energy (no corrections) is -9.26 eV per formula unit.

3.
## NpPaSeO2 (GGA-PBE)

Data for a relaxed structure of NpPaSeO2.

a b c (Å): 6.6194 6.6194 6.6194
angles (deg): 146.12 146.12 48.67
Last column: nearest neighbours and their distance in Å.
Fractional coordinates of all 5 atoms:
Np  0.0000  0.0000  0.0000  4 O 2.37
Pa  0.7156  0.7156  0.0000  4 O 2.28
Se  0.3600  0.3600  0.0000  4 Np 3.21, 4 Pa 3.24, 4 O 3.53
O  0.1146  0.6146  0.5000  2 Pa 2.28, 2 Np 2.37
O  0.6146  0.1146  0.5000  2 Pa 2.28, 2 Np 2.37

Properties
Its formation energy (no corrections) is -12.20 eV per formula unit.

4.
## SmNpPaO6 (GGA-PBE)

Data for a relaxed structure of SmNpPaO6.

a b c (Å): 5.8283 5.8283 9.4946
angles (deg): 90.00 90.00 120.00
Last column: nearest neighbours and their distance in Å.
Fractional coordinates of all 18 atoms:
Sm  0.3333  0.6667  0.2500  6 O 2.36
Sm  0.6667  0.3333  0.7500  6 O 2.36
Np  0.3333  0.6667  0.7500  6 O 2.24
Np  0.6667  0.3333  0.2500  6 O 2.24
Pa  0.0000  0.0000  0.0000  6 O 2.22
Pa  0.0000  0.0000  0.5000  6 O 2.22
O  0.0175  0.3289  0.6273  1 Pa 2.22, 1 Np 2.24, 1 Sm 2.36
O  0.0175  0.6886  0.8727  1 Pa 2.22, 1 Np 2.24, 1 Sm 2.36
O  0.3114  0.3289  0.8727  1 Pa 2.22, 1 Np 2.24, 1 Sm 2.36
O  0.3114  0.9825  0.6273  1 Pa 2.22, 1 Np 2.24, 1 Sm 2.36
O  0.3289  0.0175  0.1273  1 Pa 2.22, 1 Np 2.24, 1 Sm 2.36
O  0.3289  0.3114  0.3727  1 Pa 2.22, 1 Np 2.24, 1 Sm 2.36
O  0.6711  0.6886  0.6273  1 Pa 2.22, 1 Np 2.24, 1 Sm 2.36
O  0.6711  0.9825  0.8727  1 Pa 2.22, 1 Np 2.24, 1 Sm 2.36
O  0.6886  0.0175  0.3727  1 Pa 2.22, 1 Np 2.24, 1 Sm 2.36
O  0.6886  0.6711  0.1273  1 Pa 2.22, 1 Np 2.24, 1 Sm 2.36
O  0.9825  0.3114  0.1273  1 Pa 2.22, 1 Np 2.24, 1 Sm 2.36
O  0.9825  0.6711  0.3727  1 Pa 2.22, 1 Np 2.24, 1 Sm 2.36

Properties
Its formation energy (no corrections) is -29.23 eV per formula unit.

5.
## Sr2NpPaO8 (GGA-PBE)

Data for a relaxed structure of Sr2NpPaO8.

a b c (Å): 4.1143 7.4694 5.7744
angles (deg): 90.00 97.15 90.00
Last column: nearest neighbours and their distance in Å.
Fractional coordinates of all 12 atoms:
Sr  0.0000  0.2478  0.0000  8 O 2.47-2.70
Sr  0.0000  0.7522  0.0000  8 O 2.47-2.70
Np  0.5000  0.0000  0.5000  6 O 1.93-2.14
Pa  0.5000  0.5000  0.5000  2 O 2.05
O  0.0715  0.5000  0.2780  1 Pa 2.05
O  0.0925  0.0000  0.2945  1 Np 1.93
O  0.4348  0.2306  0.7091  1 Np 2.14, 1 Pa 2.38
O  0.4348  0.7694  0.7091  1 Np 2.14, 1 Pa 2.38
O  0.5652  0.2306  0.2909  1 Np 2.14, 1 Pa 2.38
O  0.5652  0.7694  0.2909  1 Np 2.14, 1 Pa 2.38
O  0.9075  0.0000  0.7055  1 Np 1.93
O  0.9285  0.5000  0.7220  1 Pa 2.05

Properties
Its formation energy (no corrections) is -36.44 eV per formula unit.

6.
## TbNpPaO6 (GGA-PBE)

Data for a relaxed structure of TbNpPaO6.

a b c (Å): 5.7727 5.7727 9.4957
angles (deg): 90.00 90.00 120.00
Last column: nearest neighbours and their distance in Å.
Fractional coordinates of all 18 atoms:
Tb  0.3333  0.6667  0.2500  6 O 2.31
Tb  0.6667  0.3333  0.7500  6 O 2.31
Np  0.3333  0.6667  0.7500  6 O 2.24
Np  0.6667  0.3333  0.2500  6 O 2.24
Pa  0.0000  0.0000  0.0000  6 O 2.23
Pa  0.0000  0.0000  0.5000  6 O 2.23
O  0.0103  0.3278  0.6281  1 Pa 2.23, 1 Np 2.24, 1 Tb 2.31
O  0.0103  0.6825  0.8719  1 Pa 2.23, 1 Np 2.24, 1 Tb 2.31
O  0.3175  0.3278  0.8719  1 Pa 2.23, 1 Np 2.24, 1 Tb 2.31
O  0.3175  0.9897  0.6281  1 Pa 2.23, 1 Np 2.24, 1 Tb 2.31
O  0.3278  0.0103  0.1281  1 Pa 2.23, 1 Np 2.24, 1 Tb 2.31
O  0.3278  0.3175  0.3719  1 Pa 2.23, 1 Np 2.24, 1 Tb 2.31
O  0.6722  0.6825  0.6281  1 Pa 2.23, 1 Np 2.24, 1 Tb 2.31
O  0.6722  0.9897  0.8719  1 Pa 2.23, 1 Np 2.24, 1 Tb 2.31
O  0.6825  0.0103  0.3719  1 Pa 2.23, 1 Np 2.24, 1 Tb 2.31
O  0.6825  0.6722  0.1281  1 Pa 2.23, 1 Np 2.24, 1 Tb 2.31
O  0.9897  0.3175  0.1281  1 Pa 2.23, 1 Np 2.24, 1 Tb 2.31
O  0.9897  0.6722  0.3719  1 Pa 2.23, 1 Np 2.24, 1 Tb 2.31

Properties
Its formation energy (no corrections) is -29.56 eV per formula unit.

7.
## NpPaTeO2 (GGA-PBE)

Data for a relaxed structure of NpPaTeO2.

a b c (Å): 6.8431 6.8431 6.8431
angles (deg): 146.44 146.44 48.19
Last column: nearest neighbours and their distance in Å.
Fractional coordinates of all 5 atoms:
Np  0.0000  0.0000  0.0000  4 O 2.39
Pa  0.6999  0.6999  0.0000  4 O 2.29
Te  0.3527  0.3527  0.0000  4 Np 3.35, 4 Pa 3.38, 8 O 3.65-3.74
O  0.1072  0.6072  0.5000  2 Pa 2.29, 2 Np 2.39
O  0.6072  0.1072  0.5000  2 Pa 2.29, 2 Np 2.39

Properties
Its formation energy (no corrections) is -11.71 eV per formula unit.

8.
## NpPaTe2O (GGA-PBE)

Data for a relaxed structure of NpPaTe2O.

a b c (Å): 4.1337 4.1337 14.4276
angles (deg): 90.00 90.00 90.00
Last column: nearest neighbours and their distance in Å.
Fractional coordinates of all 10 atoms:
Np  0.2500  0.2500  0.0766  4 O 2.34
Np  0.7500  0.7500  0.9234  4 O 2.34
Pa  0.2500  0.2500  0.5859  6 Te 3.01-3.19
Pa  0.7500  0.7500  0.4141  6 Te 3.01-3.19
Te  0.2500  0.2500  0.3654  5 Pa 3.01-3.18
Te  0.2500  0.2500  0.8073  1 Pa 3.19, 4 Np 3.37, 4 O 3.46
Te  0.7500  0.7500  0.1927  1 Pa 3.19, 4 Np 3.37, 4 O 3.46
Te  0.7500  0.7500  0.6346  5 Pa 3.01-3.18
O  0.2500  0.7500  0.0000  4 Np 2.34
O  0.7500  0.2500  0.0000  4 Np 2.34

Properties
Its formation energy (no corrections) is -7.38 eV per formula unit.

9.
## NpPaTiO6 (GGA-PBE)

Data for a relaxed structure of NpPaTiO6.

a b c (Å): 5.5274 5.5274 9.6197
angles (deg): 90.00 90.00 120.00
Last column: nearest neighbours and their distance in Å.
Fractional coordinates of all 18 atoms:
Np  0.0000  0.0000  0.0000  6 O 2.34
Np  0.0000  0.0000  0.5000  6 O 2.34
Pa  0.3333  0.6667  0.2500  6 O 2.20
Pa  0.6667  0.3333  0.7500  6 O 2.20
Ti  0.3333  0.6667  0.7500  6 O 2.02
Ti  0.6667  0.3333  0.2500  6 O 2.02
O  0.0243  0.3604  0.6369  1 Ti 2.02, 1 Pa 2.20
O  0.0243  0.6639  0.8631  1 Ti 2.02, 1 Pa 2.20
O  0.3361  0.3604  0.8631  1 Ti 2.02, 1 Pa 2.20
O  0.3361  0.9757  0.6369  1 Ti 2.02, 1 Pa 2.20
O  0.3604  0.0243  0.1369  1 Ti 2.02, 1 Pa 2.20
O  0.3604  0.3361  0.3631  1 Ti 2.02, 1 Pa 2.20
O  0.6396  0.6639  0.6369  1 Ti 2.02, 1 Pa 2.20
O  0.6396  0.9757  0.8631  1 Ti 2.02, 1 Pa 2.20
O  0.6639  0.0243  0.3631  1 Ti 2.02, 1 Pa 2.20
O  0.6639  0.6396  0.1369  1 Ti 2.02, 1 Pa 2.20
O  0.9757  0.3361  0.1369  1 Ti 2.02, 1 Pa 2.20
O  0.9757  0.6396  0.3631  1 Ti 2.02, 1 Pa 2.20

Properties
Its formation energy (no corrections) is -28.28 eV per formula unit.

10.
## NpPaTi2O8 (GGA-PBE)

Data for a relaxed structure of NpPaTi2O8.

a b c (Å): 6.6595 6.6595 6.6595
angles (deg): 134.02 134.02 67.05
Last column: nearest neighbours and their distance in Å.
Fractional coordinates of all 12 atoms:
Np  0.0000  0.0000  0.0000  8 O 2.36-2.42
Pa  0.2500  0.7500  0.5000  8 O 2.30-2.36
Ti  0.5000  0.5000  0.0000  4 O 1.87
Ti  0.7500  0.2500  0.5000  4 O 1.87
O  0.0091  0.0750  0.4177  1 Ti 1.87
O  0.2449  0.6690  0.0898  1 Ti 1.87
O  0.3310  0.4209  0.5759  1 Ti 1.87
O  0.4086  0.9909  0.0659  1 Ti 1.87
O  0.5791  0.1550  0.9102  1 Ti 1.87
O  0.6573  0.5914  0.5823  1 Ti 1.87
O  0.8450  0.7551  0.4241  1 Ti 1.87
O  0.9250  0.3427  0.9341  1 Ti 1.87

Properties
Its formation energy (no corrections) is -37.93 eV per formula unit.

11.
## NpPa3Tl2O12 (GGA-PBE)

Data for a relaxed structure of NpPa3Tl2O12.

a b c (Å): 8.0717 8.0717 8.0717
angles (deg): 59.46 59.46 59.46
Last column: nearest neighbours and their distance in Å.
Fractional coordinates of all 18 atoms:
Np  0.0000  0.0000  0.0000  6 O 2.02
Pa  0.0000  0.0000  0.5000  6 O 2.16-2.23
Pa  0.0000  0.5000  0.0000  6 O 2.16-2.23
Pa  0.5000  0.0000  0.0000  6 O 2.16-2.23
Tl  0.4079  0.4079  0.4079  3 O 3.12
Tl  0.5921  0.5921  0.5921  3 O 3.12
O  0.0593  0.0593  0.7032  1 Np 2.02, 1 Pa 2.23
O  0.0593  0.7032  0.0593  1 Np 2.02, 1 Pa 2.23
O  0.0723  0.6792  0.6792  2 Pa 2.16
O  0.2968  0.9407  0.9407  1 Np 2.02, 1 Pa 2.23
O  0.3208  0.3208  0.9277  2 Pa 2.16
O  0.3208  0.9277  0.3208  2 Pa 2.16
O  0.6792  0.0723  0.6792  2 Pa 2.16
O  0.6792  0.6792  0.0723  2 Pa 2.16
O  0.7032  0.0593  0.0593  1 Np 2.02, 1 Pa 2.23
O  0.9277  0.3208  0.3208  2 Pa 2.16
O  0.9407  0.2968  0.9407  1 Np 2.02, 1 Pa 2.23
O  0.9407  0.9407  0.2968  1 Np 2.02, 1 Pa 2.23

Properties
Its formation energy (no corrections) is -50.98 eV per formula unit.

12.
## YNpPaO6 (GGA-PBE)

Data for a relaxed structure of YNpPaO6.

a b c (Å): 5.7624 5.7624 9.4954
angles (deg): 90.00 90.00 120.00
Last column: nearest neighbours and their distance in Å.
Fractional coordinates of all 18 atoms:
Y  0.3333  0.6667  0.2500  6 O 2.30
Y  0.6667  0.3333  0.7500  6 O 2.30
Np  0.3333  0.6667  0.7500  6 O 2.23
Np  0.6667  0.3333  0.2500  6 O 2.23
Pa  0.0000  0.0000  0.0000  6 O 2.23
Pa  0.0000  0.0000  0.5000  6 O 2.23
O  0.0092  0.3277  0.6282  1 Pa 2.23, 1 Np 2.23, 1 Y 2.30
O  0.0092  0.6815  0.8718  1 Pa 2.23, 1 Np 2.23, 1 Y 2.30
O  0.3185  0.3277  0.8718  1 Pa 2.23, 1 Np 2.23, 1 Y 2.30
O  0.3185  0.9908  0.6282  1 Pa 2.23, 1 Np 2.23, 1 Y 2.30
O  0.3277  0.0092  0.1282  1 Pa 2.23, 1 Np 2.23, 1 Y 2.30
O  0.3277  0.3185  0.3718  1 Pa 2.23, 1 Np 2.23, 1 Y 2.30
O  0.6723  0.6815  0.6282  1 Pa 2.23, 1 Np 2.23, 1 Y 2.30
O  0.6723  0.9908  0.8718  1 Pa 2.23, 1 Np 2.23, 1 Y 2.30
O  0.6815  0.0092  0.3718  1 Pa 2.23, 1 Np 2.23, 1 Y 2.30
O  0.6815  0.6723  0.1282  1 Pa 2.23, 1 Np 2.23, 1 Y 2.30
O  0.9908  0.3185  0.1282  1 Pa 2.23, 1 Np 2.23, 1 Y 2.30
O  0.9908  0.6723  0.3718  1 Pa 2.23, 1 Np 2.23, 1 Y 2.30

Properties
Its formation energy (no corrections) is -29.55 eV per formula unit.